Entry 1:
CoBi2Pd2: relaxed, PBE-GGA.

* energy of formation: 0.14 eV/atom
* space group: No. 127
* total energy: -4.908 eV/atom

Lattice parameters (Å, degrees): 7.0633 7.0633 4.1076 90.00 90.00 90.00
Positions (direct):
Co  0.0000  0.0000  0.0000
Co  0.5000  0.5000  0.0000
Bi  0.1706  0.3294  0.5000
Bi  0.3294  0.8294  0.5000
Bi  0.6706  0.1706  0.5000
Bi  0.8294  0.6706  0.5000
Pd  0.1392  0.6392  0.0000
Pd  0.3608  0.1392  0.0000
Pd  0.6392  0.8608  0.0000
Pd  0.8608  0.3608  0.0000

---

Entry 2:
Co2Bi2Pd: relaxed, PBE-GGA.

* energy of formation: 0.23 eV/atom
* space group: No. 127
* total energy: -5.204 eV/atom

Lattice parameters (Å, degrees): 6.9970 6.9970 3.7033 90.00 90.00 90.00
Positions (direct):
Co  0.1195  0.3805  0.0000
Co  0.3805  0.8805  0.0000
Co  0.6195  0.1195  0.0000
Co  0.8805  0.6195  0.0000
Bi  0.1791  0.6791  0.5000
Bi  0.3209  0.1791  0.5000
Bi  0.6791  0.8209  0.5000
Bi  0.8209  0.3209  0.5000
Pd  0.0000  0.0000  0.0000
Pd  0.5000  0.5000  0.0000